1.
This record from the Alexandria database describes a relaxed structure of K3LiCe3S8. The functional is PBE.

a b c (Å): 8.724 8.724 8.724
angles (deg): 55.84 55.84 55.84
Fractional positions:
K1 0.000 0.500 0.500
K2 0.500 0.000 0.500
K3 0.500 0.500 0.000
Li1 0.500 0.500 0.500
Ce1 0.000 0.000 0.500
Ce2 0.000 0.500 0.000
Ce3 0.500 0.000 0.000
S1 0.220 0.736 0.736
S2 0.235 0.235 0.235
S3 0.264 0.264 0.780
S4 0.264 0.780 0.264
S5 0.736 0.220 0.736
S6 0.736 0.736 0.220
S7 0.765 0.765 0.765
S8 0.780 0.264 0.264

## Properties
Uncorrected formation energy: -1592 meV per atom
Space group: No. 166
V: 28.3 Å³ per atom
DFT total energy: -5.327 eV/atom

2.
This record from the Alexandria database describes a relaxed structure of La2CeInN. The functional is PBE.

a b c (Å): 5.151 5.151 4.910
angles (deg): 90.00 90.00 90.00
Fractional positions:
La1 0.000 0.500 0.000
La2 0.500 0.000 0.000
Ce1 0.000 0.000 0.500
In1 0.500 0.500 0.500
N1 0.000 0.000 0.000

## Properties
Uncorrected formation energy: -840 meV per atom
Space group: No. 123
V: 26.1 Å³ per atom
DFT total energy: -6.210 eV/atom

3.
This record from the Alexandria database describes a relaxed structure of Be4N. The functional is PBE.

a b c (Å): 3.448 3.448 3.448
angles (deg): 90.00 90.00 90.00
Fractional positions:
Be1 0.000 0.000 0.000
Be2 0.000 0.500 0.500
Be3 0.500 0.000 0.500
Be4 0.500 0.500 0.000
N1 0.500 0.500 0.500

## Properties
Uncorrected formation energy: 67 meV per atom
Space group: No. 221
V: 8.2 Å³ per atom
DFT total energy: -4.579 eV/atom